The following is a PBE calculation of an optimized crystal structure of Ca4Ag2Pb, from Alexandria.

## Properties
ΔE_f = -0.34 eV per atom
Density of states at the Fermi level = 8.98 states/eV/cell

Unit cell a=5.3051 b=5.3051 c=25.7946 alpha=90.00 beta=90.00 gamma=120.00
Last column: nearest neighbours and their distance in Å.
Space group R-3m (No. 166, hexagonal axes)
Inequivalent atoms, fractional coordinates:
Ca 0.0000 0.0000 0.1194 [6 per cell]  4 Ag 3.20-3.37, 3 Pb 3.30
Ca 0.0000 0.0000 0.3722 [6 per cell]  4 Ag 3.15-3.27, 1 Pb 3.30
Ag 0.0000 0.0000 0.2500 [6 per cell]  8 Ca 3.15-3.37
Pb 0.0000 0.0000 0.5000 [3 per cell]  8 Ca 3.30

---

The following is a PBE calculation of an optimized crystal structure of Sc2TiCo2, from Alexandria.

## Properties
ΔE_f = -0.27 eV per atom
Energy relative to the lowest polymorph listed for this composition = 48.2 meV per atom
Density of states at the Fermi level = 4.03 states/eV/cell

Unit cell a=6.2497 b=6.2497 c=4.2244 alpha=90.00 beta=90.00 gamma=90.00
Last column: nearest neighbours and their distance in Å.
Space group P4/mbm (No. 127)
Inequivalent atoms, fractional coordinates:
Sc 0.1784 0.3216 0.0000 [4 per cell]  6 Co 2.72-2.86
Ti 0.0000 0.0000 0.5000 [2 per cell]  4 Co 2.46
Co 0.1269 0.6269 0.5000 [4 per cell]  1 Co 2.24, 2 Ti 2.46

---

The following is a PBE calculation of an optimized crystal structure of Ba2TlO4, from Alexandria.

## Properties
Uncorrected formation energy = -1.68 eV/atom
Density of states at the Fermi level = 3.93 states/eV/cell

Unit cell a=4.3896 b=4.3896 c=13.4267 alpha=90.00 beta=90.00 gamma=90.00
Last column: nearest neighbours and their distance in Å.
Space group I4/mmm (No. 139)
Inequivalent atoms, fractional coordinates:
Ba 0.0000 0.0000 0.1428 [4 per cell]  1 O 2.57
Tl 0.0000 0.0000 0.5000 [2 per cell]  6 O 2.19-2.22
O 0.0000 0.0000 0.3344 [4 per cell]  1 Tl 2.22
O 0.0000 0.5000 0.0000 [4 per cell]  2 Tl 2.19

---

- Number 3 is which compound?
  Ba2TlO4